Entry 1:
The following is a GGA-PBE calculation of a relaxed NaRu2Pt crystal, from Alexandria.

Cell and atoms, written as POSCAR:
```
NaRu2Pt
1.0
0.000 3.122 3.122
3.122 0.000 3.122
3.122 3.122 0.000
Na Ru Pt
1 2 1
Cartesian
0.000 0.000 0.000
1.561 1.561 1.561
4.684 4.684 4.684
3.122 3.122 3.122
```

## Properties
Formation enthalpy at 0 K, meV per atom: 704
Space-group type: Fm-3m, No. 225

Entry 2:
The following is a GGA-PBE calculation of a relaxed Na2RuPt2 crystal, from Alexandria.

Cell and atoms, written as POSCAR:
```
Na2RuPt2
1.0
6.467 0.000 0.000
0.000 6.467 0.000
0.000 0.000 4.826
Na Ru Pt
4 2 4
Cartesian
1.131 2.103 0.000
2.103 5.337 0.000
4.364 1.131 0.000
5.337 4.364 0.000
0.000 0.000 2.413
3.234 3.234 2.413
0.900 4.133 2.413
2.334 0.900 2.413
4.133 5.568 2.413
5.568 2.334 2.413
```

## Properties
Formation enthalpy at 0 K, meV per atom: 211
Space-group type: P4/mbm, No. 127

Entry 3:
The following is a GGA-PBE calculation of a relaxed NaRu2Pt crystal, from Alexandria.

Cell and atoms, written as POSCAR:
```
NaRu2Pt
1.0
-3.807 3.807 2.508
3.807 -3.807 2.508
3.807 3.807 -2.508
Na Ru Pt
2 4 2
Cartesian
0.000 0.000 0.000
0.000 3.807 1.254
1.903 -1.497 1.881
2.310 1.903 0.627
1.903 5.304 -0.627
1.497 1.903 3.135
3.807 0.000 1.254
0.000 0.000 2.508
```

## Properties
Formation enthalpy at 0 K, meV per atom: 873
Space-group type: I-42d, No. 122

Entry 4:
The following is a GGA-PBE calculation of a relaxed Na3RuPt crystal, from Alexandria.

Cell and atoms, written as POSCAR:
```
Na3RuPt
1.0
5.395 0.000 0.000
0.000 5.395 0.000
0.000 0.000 5.395
Na Ru Pt
3 1 1
Cartesian
0.000 0.000 2.697
0.000 2.697 0.000
2.697 0.000 0.000
0.000 0.000 0.000
2.697 2.697 2.697
```

## Properties
Formation enthalpy at 0 K, meV per atom: 1370
Space-group type: Pm-3m, No. 221

Entry 5:
The following is a GGA-PBE calculation of a relaxed NaRuPt3 crystal, from Alexandria.

Cell and atoms, written as POSCAR:
```
NaRuPt3
1.0
4.850 0.000 0.000
0.000 4.850 0.000
0.000 0.000 4.850
Na Ru Pt
1 1 3
Cartesian
0.000 0.000 0.000
2.425 2.425 2.425
0.000 2.425 2.425
2.425 0.000 2.425
2.425 2.425 0.000
```

## Properties
Formation enthalpy at 0 K, meV per atom: 853
Space-group type: Pm-3m, No. 221

Entry 6:
The following is a GGA-PBE calculation of a relaxed Na2Si4RuPt3 crystal, from Alexandria.

Cell and atoms, written as POSCAR:
```
Na2Si4RuPt3
1.0
4.127 0.000 0.000
0.000 4.127 0.000
0.000 0.000 9.988
Na Si Ru Pt
2 4 1 3
Cartesian
0.000 2.063 2.457
2.063 0.000 7.531
0.000 0.000 4.994
0.000 2.063 8.740
2.063 0.000 1.248
2.063 2.063 4.994
2.063 2.063 0.000
0.000 0.000 0.000
0.000 2.063 6.292
2.063 0.000 3.696
```

## Properties
Space-group type: P-4m2, No. 115
Energy relative to the elements, uncorrected, eV/atom: -0.620